one.
The following is a DFT calculation (PBE) of a relaxed ScB2F crystal.

Calculated values
For the spin magnetization, the calculation gives 0.000 μB/atom. The space group is I-42d (122).

a = 7.777 Å, b = 7.777 Å, c = 5.790 Å
α = 47.81°, β = 47.81°, γ = 90.00°
Sites, in units of the cell vectors:
Sc (0.000, 0.000, 0.000)
Sc (0.750, 0.250, 0.500)
B (0.635, 0.125, 0.250)
B (0.115, 0.625, 0.250)
B (0.375, 0.365, 0.750)
B (0.875, 0.885, 0.750)
F (0.500, 0.500, 0.000)
F (0.250, 0.750, 0.500)



two.
The following is a DFT calculation (PBE) of a relaxed ScB2F crystal.

Calculated values
For the spin magnetization, the calculation gives 0.000 μB/atom. The space group is Fm-3m (225).

a = 4.082 Å, b = 4.082 Å, c = 4.082 Å
α = 60.00°, β = 60.00°, γ = 60.00°
Sites, in units of the cell vectors:
Sc (0.500, 0.500, 0.500)
B (0.250, 0.250, 0.250)
B (0.750, 0.750, 0.750)
F (0.000, 0.000, 0.000)



Most stable to least stable, the ends of the list are one and two.